1.
First-principles (PBE-GGA) data for a relaxed structure of CdSnTeN2, as listed in Alexandria via LeMat-Bulk.

The structure in POSCAR format:
```
CdSnTeN2
1.0
4.440 0.000 0.000
0.000 4.440 0.000
0.000 0.000 6.147
Cd Sn Te N
1 1 1 2
direct
0.000 0.000 0.000
0.500 0.500 0.500
0.000 0.000 0.500
0.000 0.500 0.000
0.500 0.000 0.000
```

The calculation puts the energy relative to the lowest polymorph listed for this composition at 382.1 meV per atom. As for the electronic total energy: -17.3 eV/f.u. For the energy relative to the elements, uncorrected, the calculation gives 1491 meV per atom. The value obtained for the theoretical density is 5.30 Mg/m³.


2.
First-principles (PBE-GGA) data for a relaxed structure of Pm12Er6Pu, as listed in Alexandria via LeMat-Bulk.

The structure in POSCAR format:
```
Pm12Er6Pu
1.0
7.831 4.521 2.934
-7.831 4.521 2.934
0.000 -9.043 2.934
Pm Er Pu
12 6 1
direct
0.057 0.581 0.372
0.104 0.156 0.740
0.156 0.740 0.104
0.260 0.896 0.844
0.372 0.057 0.581
0.419 0.628 0.943
0.581 0.372 0.057
0.628 0.943 0.419
0.740 0.104 0.156
0.844 0.260 0.896
0.896 0.844 0.260
0.943 0.419 0.628
0.212 0.315 0.469
0.315 0.469 0.212
0.469 0.212 0.315
0.531 0.788 0.685
0.685 0.531 0.788
0.788 0.685 0.531
0.000 0.000 0.000
```

As for the electronic total energy: -98.0 eV/f.u. The calculation puts the formation energy at 3.4 kJ/mol of atoms. The value obtained for the theoretical density is 7.96 Mg/m³.


3.
First-principles (PBE-GGA) data for a relaxed structure of ScPtSeBr2, as listed in Alexandria via LeMat-Bulk.

The structure in POSCAR format:
```
ScPtSeBr2
1.0
5.062 0.000 0.000
0.000 5.062 0.000
0.000 0.000 5.111
Sc Pt Se Br
1 1 1 2
direct
0.000 0.000 0.000
0.500 0.500 0.500
0.500 0.500 0.000
0.000 0.500 0.500
0.500 0.000 0.500
```

The calculation puts the energy relative to the lowest polymorph listed for this composition at 41.3 meV per atom. As for the electronic total energy: -19.6 eV/f.u. For the energy relative to the elements, uncorrected, the calculation gives -86 meV per atom. The value obtained for the theoretical density is 6.07 Mg/m³.


Please write out number 1 again, unchanged.
First-principles (PBE-GGA) data for a relaxed structure of CdSnTeN2, as listed in Alexandria via LeMat-Bulk.

The structure in POSCAR format:
```
CdSnTeN2
1.0
4.440 0.000 0.000
0.000 4.440 0.000
0.000 0.000 6.147
Cd Sn Te N
1 1 1 2
direct
0.000 0.000 0.000
0.500 0.500 0.500
0.000 0.000 0.500
0.000 0.500 0.000
0.500 0.000 0.000
```

The calculation puts the energy relative to the lowest polymorph listed for this composition at 382.1 meV per atom. As for the electronic total energy: -17.3 eV/f.u. For the energy relative to the elements, uncorrected, the calculation gives 1491 meV per atom. The value obtained for the theoretical density is 5.30 Mg/m³.


Question: Look up the theoretical density of the third one.
Answer: 6.07 Mg/m³